No. 1
! PBE-GGA BaFe3Mo, relaxed; values from VASP
! Distance to the lowest polymorph of the same formula: 0.0 kJ/mol of formula units
! Total magnetization: 6.60 μB/cell
! Density of states at the Fermi level: 9.04 states/eV/cell
&SYSTEM
  ibrav = 0, nat = 5, ntyp = 3
/
ATOMIC_SPECIES
Ba 137.33 Ba.upf
Fe 55.84 Fe.upf
Mo 95.94 Mo.upf
CELL_PARAMETERS angstrom
4.7852 0.0000 0.0000
0.0000 4.7852 0.0000
0.0000 0.0000 4.7852
ATOMIC_POSITIONS angstrom
Ba 0.0000 0.0000 0.0000
Fe 0.0000 2.3926 2.3926
Fe 2.3926 0.0000 2.3926
Fe 2.3926 2.3926 0.0000
Mo 2.3926 2.3926 2.3926

No. 2
! PBE-GGA BaFeMo2, relaxed; values from VASP
! Distance to the lowest polymorph of the same formula: 0.0 kJ/mol of formula units
! Total magnetization: 2.66 μB/cell
! Density of states at the Fermi level: 5.94 states/eV/cell
&SYSTEM
  ibrav = 0, nat = 4, ntyp = 3
/
ATOMIC_SPECIES
Ba 137.33 Ba.upf
Fe 55.84 Fe.upf
Mo 95.94 Mo.upf
CELL_PARAMETERS angstrom
3.2789 0.0000 0.0000
0.0000 3.2776 0.0000
-0.0602 0.0000 7.8932
ATOMIC_POSITIONS angstrom
Ba 0.0000 0.0000 0.0000
Fe 1.5947 1.6388 5.3060
Mo 1.6224 1.6388 2.7231
Mo 3.2452 0.0000 4.0289